CrNiF5: optimized geometry, PBE with a Hubbard U.

Cell: 5.3109 5.3109 7.9757 Å, 111.69 111.69 82.96°
Fractional positions:
1 Cr 0.0000 0.0000 0.0000
2 Cr 0.0000 0.0000 0.5000
3 Ni 0.3546 0.6454 0.7500
4 Ni 0.6454 0.3546 0.2500
5 F 0.0218 0.9782 0.7500
6 F 0.2522 0.7041 0.5038
7 F 0.2567 0.2973 0.1401
8 F 0.2959 0.7478 0.9962
9 F 0.2973 0.2567 0.6401
10 F 0.7027 0.7433 0.3599
11 F 0.7041 0.2522 0.0038
12 F 0.7433 0.7027 0.8599
13 F 0.7478 0.2959 0.4962
14 F 0.9782 0.0218 0.2500

Computed properties:
Final energy ... -72.05 eV/cell